Record 1
Below is BaThSn2 after structural relaxation, with properties calculated at the PBE-GGA level.

Geometry as CIF:
```
data_BaThSn2
_chemical_formula_sum 'Ba1 Th1 Sn2'
_cell_length_a 3.680
_cell_length_b 3.680
_cell_length_c 9.493
_cell_angle_alpha 90.00
_cell_angle_beta 90.00
_cell_angle_gamma 90.00
_space_group_name_H-M_alt 'P 1'
_space_group_IT_number 1
loop_
_space_group_symop_operation_xyz
'x,y,z'
loop_
_atom_site_label
_atom_site_fract_x
_atom_site_fract_y
_atom_site_fract_z
Ba1 0.500 0.500 0.500
Th1 0.500 0.500 0.000
Sn1 0.000 0.000 0.768
Sn2 0.000 0.000 0.232
```

Properties
Energy of formation from the pure elements   -0.516 eV/atom
Space-group type   P4/mmm
Excess energy over the best structure of this formula in the dataset   0.000 eV/atom
Spin magnetization   0.0 μB per formula unit

---

Record 2
Below is BaThSn2 after structural relaxation, with properties calculated at the PBE-GGA level.

Geometry as CIF:
```
data_BaThSn2
_chemical_formula_sum 'Ba1 Th1 Sn2'
_cell_length_a 5.086
_cell_length_b 5.086
_cell_length_c 7.444
_cell_angle_alpha 70.03
_cell_angle_beta 70.03
_cell_angle_gamma 60.00
_space_group_name_H-M_alt 'P 1'
_space_group_IT_number 1
loop_
_space_group_symop_operation_xyz
'x,y,z'
loop_
_atom_site_label
_atom_site_fract_x
_atom_site_fract_y
_atom_site_fract_z
Ba1 0.500 0.500 0.500
Th1 0.000 0.000 0.000
Sn1 0.270 0.270 0.189
Sn2 0.730 0.730 0.811
```

Properties
Energy of formation from the pure elements   -0.360 eV/atom
Space-group type   R-3m
Excess energy over the best structure of this formula in the dataset   0.157 eV/atom
Spin magnetization   0.0 μB per formula unit

---

Record 3
Below is BaThSn2 after structural relaxation, with properties calculated at the PBE-GGA level.

Geometry as CIF:
```
data_BaThSn2
_chemical_formula_sum 'Ba1 Th1 Sn2'
_cell_length_a 3.400
_cell_length_b 6.125
_cell_length_c 6.125
_cell_angle_alpha 90.00
_cell_angle_beta 90.00
_cell_angle_gamma 90.00
_space_group_name_H-M_alt 'P 1'
_space_group_IT_number 1
loop_
_space_group_symop_operation_xyz
'x,y,z'
loop_
_atom_site_label
_atom_site_fract_x
_atom_site_fract_y
_atom_site_fract_z
Ba1 0.500 0.500 0.500
Th1 0.500 0.000 0.000
Sn1 0.000 0.000 0.500
Sn2 0.000 0.500 0.000
```

Properties
Energy of formation from the pure elements   -0.437 eV/atom
Space-group type   P4/mmm
Excess energy over the best structure of this formula in the dataset   0.079 eV/atom
Spin magnetization   0.0 μB per formula unit